Material: La4InSbN
Method: DFT, PBE
State: optimized geometry

## Properties
Total DFT energy (no corrections) ... -5.892 eV/atom
D(E_F) ... 21.312 states/eV/cell

Cell lengths 7.0670, 16.8430, 7.0818 Å; angles 90.00, 90.00, 90.00 degrees
Space group Cmcm (No. 63)
Inequivalent atoms, fractional coordinates:
La  0.0000  0.0858  0.2500 x4
La  0.0000  0.4131  0.2500 x4
La  0.2500  0.2500  0.0000 x8
In  0.0000  0.3891  0.7500 x4
Sb  0.0000  0.1096  0.7500 x4
N  0.0000  0.2617  0.2500 x4


Material: H4SI2
Method: DFT, PBE
State: optimized geometry

## Properties
Offset from the most stable computed form ... 401.1 meV/atom
D(E_F) ... 0.000 states/eV/cell

Cell lengths 16.7930, 4.1380, 4.6148 Å; angles 90.00, 101.57, 90.00 degrees
Space group C2/m (No. 12)
Inequivalent atoms, fractional coordinates:
H  0.0633  0.0000  0.2433 x4
H  0.0789  0.5000  0.7832 x4
S  0.0000  0.0000  0.0000 x2
I  0.1509  0.5000  0.5840 x4


Material: K2ZnTcW
Method: DFT, PBE
State: optimized geometry

## Properties
Calculated formation energy ... 2.452 eV/atom
D(E_F) ... 9.024 states/eV/cell

Cell lengths 5.0942, 5.0942, 5.1455 Å; angles 90.00, 90.00, 90.00 degrees
Space group P4/mmm (No. 123)
Inequivalent atoms, fractional coordinates:
K  0.0000  0.5000  0.0000 x2
Zn  0.0000  0.0000  0.0000 x1
Tc  0.0000  0.0000  0.5000 x1
W  0.5000  0.5000  0.5000 x1